Compound: TcNi3
Source: the Alexandria database
Functional: PBEsol
Structure: relaxed

The magnetization is 0.0 μB/f.u. The value obtained for the formation energy is 0.003 eV per atom.

The structure belongs to space group C2/m (No. 12); the cell edges are 8.325, 2.522 and 4.344 Å and the angles 90.00°, 99.80° and 90.00°. The distinct sites, in fractional coordinates, are Tc at (0.000, 0.000, 0.000), Ni at (0.000, 0.500, 0.500) and Ni at (0.248, 0.000, 0.750).